A plane-wave DFT calculation with PBE+U was carried out for an optimized crystal structure of FeBiPb2O6.

As for the calculated total energy: -114.778 eV/cell. As for the density of states at the Fermi level: 3.9 states/eV per cell.

a = 5.8256 Å, b = 5.8449 Å, c = 10.1082 Å
α = 90.00°, β = 125.12°, γ = 90.00°
With the nearest neighbours (Å) after each atom.
Fractional coordinates of all 20 atoms:
Fe1 0.0000 0.0000 0.0000  6 O 2.05-2.06
Fe2 0.0000 0.5000 0.5000  6 O 2.05-2.06
Bi1 0.5000 0.0000 0.5000  6 O 2.16-2.17
Bi2 0.5000 0.5000 0.0000  6 O 2.16-2.17
Pb1 0.2442 0.0295 0.7484  4 O 2.53-2.69
Pb2 0.2442 0.4705 0.2484  4 O 2.53-2.69
Pb3 0.7558 0.5295 0.7516  4 O 2.53-2.69
Pb4 0.7558 0.9705 0.2516  4 O 2.53-2.69
O1 0.1684 0.2188 0.4644  1 Fe 2.05, 1 Bi 2.17
O2 0.1684 0.2812 0.9644  1 Fe 2.05, 1 Bi 2.17
O3 0.2448 0.7069 0.4632  1 Fe 2.06, 1 Bi 2.16
O4 0.2448 0.7931 0.9632  1 Fe 2.06, 1 Bi 2.16
O5 0.3154 0.0159 0.2434  1 Fe 2.06, 1 Bi 2.16
O6 0.3154 0.4841 0.7434  1 Fe 2.06, 1 Bi 2.16
O7 0.6846 0.5159 0.2566  1 Fe 2.06, 1 Bi 2.16
O8 0.6846 0.9841 0.7566  1 Fe 2.06, 1 Bi 2.16
O9 0.7552 0.2069 0.0368  1 Fe 2.06, 1 Bi 2.16
O10 0.7552 0.2931 0.5368  1 Fe 2.06, 1 Bi 2.16
O11 0.8316 0.7188 0.0356  1 Fe 2.05, 1 Bi 2.17
O12 0.8316 0.7812 0.5356  1 Fe 2.05, 1 Bi 2.17